# 1
The following is a PBE calculation of GaS8F2 after structural relaxation, from Alexandria.

abc: 5.570 6.819 7.711
angles: 75.52 78.15 77.12
Space group P-1 (No. 2)
One atom of each set of equivalent atoms:
1 Ga 0.000 0.000 0.000
2 S 0.012 0.637 0.294
3 S 0.062 0.251 0.495
4 S 0.439 0.906 0.946
5 S 0.445 0.558 0.604
6 F 0.011 0.810 0.863

Results
* E_tot: -4.0391 eV/atom

---

# 2
The following is a PBE calculation of GaSF2 after structural relaxation, from Alexandria.

abc: 5.992 5.992 8.859
angles: 90.00 90.00 90.00
Space group I4_1/amd (No. 141, origin choice 2)
One atom of each set of equivalent atoms:
1 Ga 0.000 0.250 0.375
2 S 0.000 0.250 0.875
3 F 0.000 0.000 0.500

Results
* E above lowest polymorph: 0.0000 eV/atom
* E_tot: -3.6900 eV/atom

---

# 3
The following is a PBE calculation of GaSbSF2 after structural relaxation, from Alexandria.

abc: 4.459 4.459 5.385
angles: 90.00 90.00 90.00
Space group P4/mmm (No. 123)
One atom of each set of equivalent atoms:
1 Ga 0.000 0.000 0.000
2 Sb 0.500 0.500 0.500
3 S 0.500 0.500 0.000
4 F 0.000 0.500 0.500

Results
* E_tot: -4.1956 eV/atom

---

> Look up the E_tot of the first one.

-4.0391 eV/atom